No. 1
Entry from Alexandria via LeMat-Bulk: a crystal of Cd2Ag relaxed with PBEsol (SCAN).

a = 3.7763 Å, b = 13.2925 Å, c = 4.4738 Å
α = 90.00°, β = 90.00°, γ = 90.00°
Atoms (fractional coordinates):
Cd 0.0000 0.0780 0.2500
Cd 0.0000 0.2495 0.7500
Cd 0.0000 0.7505 0.2500
Cd 0.0000 0.9220 0.7500
Cd 0.5000 0.2505 0.2500
Cd 0.5000 0.4220 0.7500
Cd 0.5000 0.5780 0.2500
Cd 0.5000 0.7495 0.7500
Ag 0.0000 0.4146 0.2500
Ag 0.0000 0.5854 0.7500
Ag 0.5000 0.0854 0.7500
Ag 0.5000 0.9146 0.2500

Summary:
**Density of states at the Fermi level**: 0.21 states/eV/atom
**ΔE_f**: -0.03 eV/atom
**Calculated total energy**: -369.110 eV/cell
**Space group**: Cmcm (63)
**Energy relative to the lowest polymorph listed for this composition**: 0.029 eV per atom

=====

No. 2
Entry from Alexandria via LeMat-Bulk: a crystal of Cd12Ag17 relaxed with PBEsol (SCAN).

a = 8.8057 Å, b = 8.8057 Å, c = 8.8057 Å
α = 109.47°, β = 109.47°, γ = 109.47°
Atoms (fractional coordinates):
Cd 0.0000 0.1943 0.3847
Cd 0.0000 0.3847 0.1943
Cd 0.1904 0.8057 0.8057
Cd 0.1943 0.0000 0.3847
Cd 0.1943 0.3847 0.0000
Cd 0.3847 0.0000 0.1943
Cd 0.3847 0.1943 0.0000
Cd 0.6153 0.6153 0.8096
Cd 0.6153 0.8096 0.6153
Cd 0.8057 0.1904 0.8057
Cd 0.8057 0.8057 0.1904
Cd 0.8096 0.6153 0.6153
Ag 0.0000 0.0000 0.0000
Ag 0.0000 0.0000 0.6559
Ag 0.0000 0.4145 0.6895
Ag 0.0000 0.6559 0.0000
Ag 0.0000 0.6895 0.4145
Ag 0.2750 0.5855 0.5855
Ag 0.3105 0.3105 0.7250
Ag 0.3105 0.7250 0.3105
Ag 0.3441 0.3441 0.3441
Ag 0.4145 0.0000 0.6895
Ag 0.4145 0.6895 0.0000
Ag 0.5855 0.2750 0.5855
Ag 0.5855 0.5855 0.2750
Ag 0.6559 0.0000 0.0000
Ag 0.6895 0.0000 0.4145
Ag 0.6895 0.4145 0.0000
Ag 0.7250 0.3105 0.3105

Summary:
**Density of states at the Fermi level**: 0.22 states/eV/atom
**ΔE_f**: 0.01 eV/atom
**Calculated total energy**: -897.920 eV/cell
**Space group**: I-43m (217)

=====

No. 3
Entry from Alexandria via LeMat-Bulk: a crystal of CdAg2 relaxed with PBEsol (SCAN).

a = 5.8902 Å, b = 4.3510 Å, c = 8.8132 Å
α = 90.00°, β = 90.00°, γ = 90.00°
Atoms (fractional coordinates):
Cd 0.1400 0.2500 0.0869
Cd 0.3600 0.7500 0.5869
Cd 0.6400 0.2500 0.4131
Cd 0.8600 0.7500 0.9131
Ag 0.1063 0.2500 0.7512
Ag 0.1342 0.2500 0.4183
Ag 0.3658 0.7500 0.9183
Ag 0.3937 0.7500 0.2512
Ag 0.6063 0.2500 0.7488
Ag 0.6342 0.2500 0.0817
Ag 0.8658 0.7500 0.5817
Ag 0.8937 0.7500 0.2488

Summary:
**Density of states at the Fermi level**: 0.27 states/eV/atom
**ΔE_f**: -0.05 eV/atom
**Calculated total energy**: -373.176 eV/cell
**Space group**: Pnma (62)
**Energy relative to the lowest polymorph listed for this composition**: 0.005 eV per atom